# LiDyLuRu (GGA-PBE, optimized geometry)
# Volume: 324 Å³/cell
data_LiDyLuRu
_chemical_formula_sum 'Li4 Dy4 Lu4 Ru4'
_cell_length_a 6.870
_cell_length_b 6.870
_cell_length_c 6.870
_cell_angle_alpha 90.00
_cell_angle_beta 90.00
_cell_angle_gamma 90.00
_symmetry_space_group_name_H-M 'F -4 3 m'
_symmetry_Int_Tables_number 216
_symmetry_space_group_name_Hall 'F -4 2 3'
loop_
_atom_site_label
_atom_site_type_symbol
_atom_site_fract_x
_atom_site_fract_y
_atom_site_fract_z
Li1 Li 0.000 0.000 0.000
Dy1 Dy 0.250 0.250 0.250
Lu1 Lu 0.250 0.250 0.750
Ru1 Ru 0.000 0.000 0.500

=====

# LiDyLuSi (GGA-PBE, optimized geometry)
# Volume: 334 Å³/cell
# ΔE_f (raw): -32.6 kJ/mol of atoms
data_LiDyLuSi
_chemical_formula_sum 'Li4 Dy4 Lu4 Si4'
_cell_length_a 6.941
_cell_length_b 6.941
_cell_length_c 6.941
_cell_angle_alpha 90.00
_cell_angle_beta 90.00
_cell_angle_gamma 90.00
_symmetry_space_group_name_H-M 'F -4 3 m'
_symmetry_Int_Tables_number 216
_symmetry_space_group_name_Hall 'F -4 2 3'
loop_
_atom_site_label
_atom_site_type_symbol
_atom_site_fract_x
_atom_site_fract_y
_atom_site_fract_z
Li1 Li 0.000 0.000 0.000
Dy1 Dy 0.250 0.250 0.250
Lu1 Lu 0.250 0.250 0.750
Si1 Si 0.000 0.000 0.500

=====

# LiTbDyLu (GGA-PBE, optimized geometry)
# Volume: 453 Å³/cell
data_LiTbDyLu
_chemical_formula_sum 'Li4 Tb4 Dy4 Lu4'
_cell_length_a 7.678
_cell_length_b 7.678
_cell_length_c 7.678
_cell_angle_alpha 90.00
_cell_angle_beta 90.00
_cell_angle_gamma 90.00
_symmetry_space_group_name_H-M 'F -4 3 m'
_symmetry_Int_Tables_number 216
_symmetry_space_group_name_Hall 'F -4 2 3'
loop_
_atom_site_label
_atom_site_type_symbol
_atom_site_fract_x
_atom_site_fract_y
_atom_site_fract_z
Li1 Li 0.000 0.000 0.000
Tb1 Tb 0.250 0.250 0.250
Dy1 Dy 0.250 0.250 0.750
Lu1 Lu 0.000 0.000 0.500

=====

# LiDyLuTc (GGA-PBE, optimized geometry)
# Volume: 329 Å³/cell
data_LiDyLuTc
_chemical_formula_sum 'Li4 Dy4 Lu4 Tc4'
_cell_length_a 6.906
_cell_length_b 6.906
_cell_length_c 6.906
_cell_angle_alpha 90.00
_cell_angle_beta 90.00
_cell_angle_gamma 90.00
_symmetry_space_group_name_H-M 'F -4 3 m'
_symmetry_Int_Tables_number 216
_symmetry_space_group_name_Hall 'F -4 2 3'
loop_
_atom_site_label
_atom_site_type_symbol
_atom_site_fract_x
_atom_site_fract_y
_atom_site_fract_z
Li1 Li 0.000 0.000 0.000
Dy1 Dy 0.250 0.250 0.250
Lu1 Lu 0.250 0.250 0.750
Tc1 Tc 0.000 0.000 0.500

=====

# LiDyLuTl (GGA-PBE, optimized geometry)
# Volume: 404 Å³/cell
data_LiDyLuTl
_chemical_formula_sum 'Li4 Dy4 Lu4 Tl4'
_cell_length_a 7.394
_cell_length_b 7.394
_cell_length_c 7.394
_cell_angle_alpha 90.00
_cell_angle_beta 90.00
_cell_angle_gamma 90.00
_symmetry_space_group_name_H-M 'F -4 3 m'
_symmetry_Int_Tables_number 216
_symmetry_space_group_name_Hall 'F -4 2 3'
loop_
_atom_site_label
_atom_site_type_symbol
_atom_site_fract_x
_atom_site_fract_y
_atom_site_fract_z
Li1 Li 0.000 0.000 0.000
Dy1 Dy 0.250 0.250 0.250
Lu1 Lu 0.250 0.250 0.750
Tl1 Tl 0.000 0.000 0.500

=====

# LiDyLuZn (GGA-PBE, optimized geometry)
# Volume: 365 Å³/cell
data_LiDyLuZn
_chemical_formula_sum 'Li4 Dy4 Lu4 Zn4'
_cell_length_a 7.143
_cell_length_b 7.143
_cell_length_c 7.143
_cell_angle_alpha 90.00
_cell_angle_beta 90.00
_cell_angle_gamma 90.00
_symmetry_space_group_name_H-M 'F -4 3 m'
_symmetry_Int_Tables_number 216
_symmetry_space_group_name_Hall 'F -4 2 3'
loop_
_atom_site_label
_atom_site_type_symbol
_atom_site_fract_x
_atom_site_fract_y
_atom_site_fract_z
Li1 Li 0.000 0.000 0.000
Dy1 Dy 0.250 0.250 0.750
Lu1 Lu 0.250 0.250 0.250
Zn1 Zn 0.000 0.000 0.500

=====

| no. | calculated total energy (eV per cell) | calculated density (g/cm3) | density of states at the Fermi level (states/eV/f.u.) |
| --- | --- | --- | --- |
| 1 | -86.3 | 9.13 | 3.01 |
| 2 | -71.2 | 7.40 | 2.51 |
| 3 | -60.1 | 7.39 | 3.53 |
| 4 | -86.6 | 8.92 | 3.87 |
| 5 | -56.4 | 9.02 | 2.58 |
| 6 | -51.1 | 7.47 | 4.82 |